1.
A relaxed Y2RhBr crystal, computed with GGA-PBE.

For the density, the calculation gives 5.6 g/cm3. As for the uncorrected formation energy: -409 kJ/mol of formula units. The value obtained for the distance to the lowest polymorph of the same formula is 4 meV/atom. The value obtained for the density of states at the Fermi level is 1.2 states/eV/f.u.

It has space group C2/m (No. 12), with a = 6.950 Å, b = 4.017 Å, c = 7.975 Å, α = 90.00°, β = 106.69° and γ = 90.00°. Symmetry generates all atoms from Y at (0.230, 0.000, 0.194), Rh at (0.000, 0.500, 0.000) and Br at (0.000, 0.000, 0.500).

=====

2.
A relaxed Rb2TbCeTe4 crystal, computed with GGA-PBE.

For the density, the calculation gives 5.2 g/cm3. As for the uncorrected formation energy: -1051 kJ/mol of formula units. The value obtained for the density of states at the Fermi level is 6.1 states/eV/f.u.

It has space group P2/m (No. 10), with a = 8.004 Å, b = 4.620 Å, c = 8.948 Å, α = 90.00°, β = 107.28° and γ = 90.00°. Symmetry generates all atoms from Rb at (0.000, 0.000, 0.000), Rb at (0.500, 0.500, 0.000), Tb at (0.000, 0.500, 0.500), Ce at (0.500, 0.000, 0.500), Te at (0.227, 0.000, 0.701) and Te at (0.259, 0.500, 0.297).

=====

3.
A relaxed KTl3Pb crystal, computed with GGA-PBE.

For the density, the calculation gives 6.6 g/cm3. Its formation energy is 302 kJ/mol of formula units. The value obtained for the distance to the lowest polymorph of the same formula is 682 meV/atom. The value obtained for the density of states at the Fermi level is 2.8 states/eV/f.u.

It has space group Pm-3m (No. 221), with a = 5.988 Å, b = 5.988 Å, c = 5.988 Å, α = 90.00°, β = 90.00° and γ = 90.00°. Symmetry generates all atoms from K at (0.000, 0.000, 0.000), Tl at (0.000, 0.000, 0.500) and Pb at (0.500, 0.500, 0.500).

=====

4.
A relaxed AlVFe2 crystal, computed with GGA-PBE.

For the density, the calculation gives 6.8 g/cm3. Its formation energy is -146 kJ/mol of formula units. The value obtained for the density of states at the Fermi level is 1.5 states/eV/f.u.

It has space group P4/mmm (No. 123), with a = 2.860 Å, b = 2.860 Å, c = 5.703 Å, α = 90.00°, β = 90.00° and γ = 90.00°. Symmetry generates all atoms from Al at (0.000, 0.000, 0.000), V at (0.000, 0.000, 0.500) and Fe at (0.500, 0.500, 0.259).

=====

What is the formula in the second record?
Rb2TbCeTe4